## Pa2TeAsH2 (GGA-PBE)

Data for Pa2TeAsH2 after structural relaxation.

Cell: 3.9243 3.9243 8.1448 Å, 90.00 90.00 120.00°
Last column: nearest neighbours and their distance in Å.
Space group P-3m1 (No. 164)
One atom of each set of equivalent atoms:
1 Pa 0.3333 0.6667 0.2224  3 H 2.27
2 Te 0.0000 0.0000 0.5000  6 H 3.07, 6 Pa 3.20
3 As 0.0000 0.0000 0.0000  6 Pa 2.90, 6 H 3.02
4 H 0.3333 0.6667 0.7548  3 Pa 2.27

Results
Total magnetic moment (Bohr magnetons per cell): 0.9
VASP energy (eV per atom): -6.364